# PrBO3 PBE-GGA relaxed
# - electronic total energy (eV per formula unit) = -41.45
data_PrBO3
_chemical_formula_sum 'Pr4 B4 O12'
_symmetry_space_group_name_H-M 'P n m a'
_symmetry_Int_Tables_number 62
_cell_length_a 5.733
_cell_length_b 5.062
_cell_length_c 8.129
_cell_angle_alpha 90.00
_cell_angle_beta 90.00
_cell_angle_gamma 90.00
loop_
_symmetry_equiv_pos_as_xyz
'x,y,z'
'-x,-y,-z'
'-x+1/2,-y,z+1/2'
'x+1/2,y,-z+1/2'
'x+1/2,-y+1/2,-z+1/2'
'-x+1/2,y+1/2,z+1/2'
'-x,y+1/2,-z'
'x,-y+1/2,z'
loop_
_atom_site_label
_atom_site_type_symbol
_atom_site_fract_x
_atom_site_fract_y
_atom_site_fract_z
_atom_site_occupancy
Pr1 Pr 0.243 0.250 0.085 1
B1 B 0.085 0.250 0.738 1
O1 O 0.089 0.015 0.824 1
O2 O 0.102 0.250 0.569 1


# PrBO3 PBE-GGA relaxed
# - electronic total energy (eV per formula unit) = -37.02
data_PrBO3
_chemical_formula_sum 'Pr4 B4 O12'
_symmetry_space_group_name_H-M 'I m m a'
_symmetry_Int_Tables_number 74
_symmetry_space_group_name_Hall '-I 2b 2'
_cell_length_a 5.045
_cell_length_b 7.120
_cell_length_c 5.046
_cell_angle_alpha 90.00
_cell_angle_beta 90.00
_cell_angle_gamma 90.00
loop_
_atom_site_label
_atom_site_type_symbol
_atom_site_fract_x
_atom_site_fract_y
_atom_site_fract_z
_atom_site_occupancy
Pr1 Pr 0.000 0.250 0.000 1
B1 B 0.000 0.000 0.500 1
O1 O 0.000 0.250 0.499 1
O2 O 0.250 0.001 0.750 1


# PrB3O6 PBE-GGA relaxed
# - electronic total energy (eV per formula unit) = -81.89
data_PrB3O6
_chemical_formula_sum 'Pr4 B12 O24'
_symmetry_space_group_name_H-M 'C 1 2/c 1'
_symmetry_Int_Tables_number 15
_cell_length_a 9.782
_cell_length_b 8.104
_cell_length_c 6.353
_cell_angle_alpha 90.00
_cell_angle_beta 126.30
_cell_angle_gamma 90.00
loop_
_symmetry_equiv_pos_as_xyz
'x,y,z'
'-x,-y,-z'
'-x,y,-z+1/2'
'x,-y,z+1/2'
'x+1/2,y+1/2,z'
'-x+1/2,-y+1/2,-z'
'-x+1/2,y+1/2,-z+1/2'
'x+1/2,-y+1/2,z+1/2'
loop_
_atom_site_label
_atom_site_type_symbol
_atom_site_fract_x
_atom_site_fract_y
_atom_site_fract_z
_atom_site_occupancy
Pr1 Pr 0.000 0.197 0.250 1
B1 B 0.000 0.221 0.750 1
B2 B 0.225 0.433 0.084 1
O1 O 0.102 0.312 0.993 1
O2 O 0.106 0.111 0.711 1
O3 O 0.200 0.412 0.499 1